1.
Compound: PtCS2N
Source: the Alexandria database
Functional: PBE
Structure: optimized geometry

Results
Calculated density, g cm⁻³: 5.4
Raw formation energy, meV/atom: 2068

a b c (Å): 4.900 4.900 3.651
angles (deg): 90.00 90.00 90.00
Space group P4/mmm (No. 123)
Symmetry-distinct sites (fractional):
Pt: 0.000 0.000 0.000 x1
C: 0.500 0.500 0.500 x1
S: 0.000 0.500 0.000 x2
N: 0.000 0.000 0.500 x1

=====

2.
Compound: CaScZn2
Source: the Alexandria database
Functional: PBE
Structure: optimized geometry

Results
Calculated density, g cm⁻³: 4.1
Formation enthalpy at 0 K, meV/atom: -10

a b c (Å): 4.304 4.304 9.372
angles (deg): 90.00 90.00 90.00
Space group I-4m2 (No. 119)
Symmetry-distinct sites (fractional):
Ca: 0.000 0.000 0.000 x2
Sc: 0.000 0.500 0.750 x2
Zn: 0.000 0.000 0.500 x2
Zn: 0.000 0.500 0.250 x2

=====

3.
Compound: KInAs2
Source: the Alexandria database
Functional: PBE
Structure: optimized geometry

Results
Calculated density, g cm⁻³: 5.2
Formation enthalpy at 0 K, meV/atom: 79

a b c (Å): 6.557 9.722 3.073
angles (deg): 90.00 90.00 90.00
Space group Cmmm (No. 65)
Symmetry-distinct sites (fractional):
K: 0.000 0.000 0.000 x2
In: 0.000 0.500 0.000 x2
As: 0.250 0.250 0.500 x4

=====

4.
Compound: SmEr4Tm5
Source: the Alexandria database
Functional: PBE
Structure: optimized geometry

Results
Calculated density, g cm⁻³: 8.5
Formation enthalpy at 0 K, meV/atom: 237

a b c (Å): 3.518 8.930 10.782
angles (deg): 77.83 89.81 79.16
Space group P-1 (No. 2)
Symmetry-distinct sites (fractional):
Sm: 0.000 0.000 0.000 x1
Er: 0.166 0.644 0.226 x2
Er: 0.483 0.040 0.739 x2
Tm: 0.000 0.000 0.500 x1
Tm: 0.337 0.330 0.075 x2
Tm: 0.338 0.336 0.482 x2

=====

| no. | E_tot (eV/atom) |
| --- | --- |
| 1 | -4.301 |
| 2 | -2.730 |
| 3 | -3.205 |
| 4 | -4.296 |